The following is a PBE calculation of an optimized crystal structure of Te2PbAu, from the Alexandria database.

The uncorrected formation energy is -0.0738 eV/atom.

a = 11.668 Å, b = 4.204 Å, c = 6.639 Å
α = 90.00°, β = 111.49°, γ = 90.00°
Space group Cm (No. 8)
One atom of each set of equivalent atoms:
Te 0.000 0.000 0.000
Te 0.120 0.500 0.448
Pb 0.243 0.000 0.808
Au 0.025 0.500 0.756



The following is a PBE calculation of an optimized crystal structure of TePb2Au, from the Alexandria database.

The uncorrected formation energy is 0.0799 eV/atom.

a = 4.060 Å, b = 5.819 Å, c = 9.608 Å
α = 90.00°, β = 90.00°, γ = 90.00°
Space group Cmm2 (No. 35)
One atom of each set of equivalent atoms:
Te 0.000 0.000 0.000
Pb 0.000 0.000 0.426
Pb 0.000 0.500 0.726
Au 0.000 0.500 0.212



The following is a PBE calculation of an optimized crystal structure of TmTe3PbAu, from the Alexandria database.

The uncorrected formation energy is -0.6912 eV/atom.

a = 8.312 Å, b = 4.335 Å, c = 10.807 Å
α = 90.00°, β = 107.65°, γ = 90.00°
Space group P2_1/m (No. 11)
One atom of each set of equivalent atoms:
Tm 0.204 0.250 0.180
Te 0.077 0.250 0.878
Te 0.203 0.250 0.465
Te 0.455 0.750 0.169
Pb 0.213 0.750 0.709
Au 0.378 0.750 0.398



The following is a PBE calculation of an optimized crystal structure of Th4PbAu2, from the Alexandria database.

Its energy of formation is -4.8 kcal/mol of atoms.

a = 4.6154 Å, b = 4.6154 Å, c = 35.3130 Å
α = 90.00°, β = 90.00°, γ = 120.00°
Space group R-3m (No. 166, hexagonal axes)
One atom of each set of equivalent atoms:
Th 0.0000 0.0000 0.1131
Th 0.0000 0.0000 0.3042
Pb 0.0000 0.0000 0.5000
Au 0.0000 0.0000 0.4029



The following is a PBE calculation of an optimized crystal structure of Th2PbAu, from the Alexandria database.

Its energy of formation is -10.1 kcal/mol of atoms.

a = 3.504 Å, b = 3.504 Å, c = 8.980 Å
α = 90.00°, β = 90.00°, γ = 90.00°
Space group P4/mmm (No. 123)
One atom of each set of equivalent atoms:
Th 0.000 0.000 0.227
Pb 0.500 0.500 0.500
Au 0.500 0.500 0.000



The following is a PBE calculation of an optimized crystal structure of Th2PbAu, from the Alexandria database.

Its energy of formation is -7.4 kcal/mol of atoms.

a = 7.675 Å, b = 7.675 Å, c = 7.675 Å
α = 90.00°, β = 90.00°, γ = 90.00°
Space group Fm-3m (No. 225)
One atom of each set of equivalent atoms:
Th 0.250 0.250 0.250
Pb 0.000 0.000 0.000
Au 0.000 0.000 0.500